The following is a DFT calculation (PBE) of La5PrHo5 after structural relaxation.

Output
ΔH_f (0 K) (eV per formula unit): 2.8
VASP energy (eV per atom): -4.50
Density (kg/m3): 6932
Magnetization (μB/atom): 0.0006

Structure (POSCAR):
```
La5PrHo5
1.0
-5.3418 -0.9840 3.0220
1.3156 -3.2576 -5.1277
5.2894 -8.3176 6.6413
Ho La Pr
5 5 1
Direct
0.8341 0.1659 0.5000
0.0000 0.0000 0.7341
0.3318 0.1659 0.5000
0.0000 0.0000 0.2659
0.8341 0.6682 0.5000
0.3333 0.6667 0.3179
0.3333 0.6667 0.6821
0.6667 0.3333 0.1523
0.6667 0.3333 0.8477
0.0000 0.0000 0.0000
0.3333 0.6667 0.0000
```